Entry from the Alexandria database: La4NdU3N8 after structural relaxation (PBE).

Total energy   -9.20 eV per atom
Magnetic moment   1.25 μB per formula unit

Lattice parameters (Å, degrees): 7.1393 7.2256 7.1395 119.60 120.00 90.00
Atoms (fractional coordinates):
La 0.5000 0.0000 0.0000
La 0.5000 0.0000 0.5000
La 0.0000 0.0000 0.0000
La 0.0000 0.0000 0.5000
Nd 0.0000 0.5000 0.0000
U 0.5000 0.5000 0.0000
U 0.5000 0.5000 0.5000
U 0.0000 0.5000 0.5000
N 0.2478 0.7013 0.9537
N 0.2478 0.7013 0.4955
N 0.2675 0.3027 0.5350
N 0.7058 0.7013 0.9537
N 0.2942 0.2987 0.0463
N 0.7325 0.6973 0.4650
N 0.7522 0.2987 0.5045
N 0.7522 0.2987 0.0463


Entry from the Alexandria database: Zn4FeRe after structural relaxation (PBE).

Magnetic moment   3.27 μB per formula unit
Energy of formation   28 kJ per mole of atoms

Lattice parameters (Å, degrees): 4.8787 4.8787 4.8787 60.00 60.00 60.00
Atoms (fractional coordinates):
Zn 0.6252 0.6252 0.1245
Zn 0.6252 0.1245 0.6252
Zn 0.6252 0.6252 0.6252
Zn 0.1245 0.6252 0.6252
Fe 0.2500 0.2500 0.2500
Re 0.0000 0.0000 0.0000


no.,V (Å³ per cell)
1,262.0
2,82.1